1.
This record from the Alexandria database describes an optimized crystal structure of DyTlRh. The functional is PBE.

Values from the calculation:
* D(E_F): 4.54 states/eV/cell
* volume: 24.43 Å³/atom
* mass density: 10.6 Mg/m³
* final energy: -5.23 eV per atom

Cell lengths 6.6428, 6.6428, 6.6428 Å; angles 90.00, 90.00, 90.00 degrees
With the nearest neighbours (Å) after each atom.
Space group F-43m (No. 216)
Asymmetric unit:
Dy 0.0000 0.0000 0.0000  4 Rh 2.88
Tl 0.0000 0.0000 0.5000  4 Rh 2.88
Rh 0.2500 0.2500 0.2500  4 Tl 2.88, 4 Dy 2.88

***

2.
This record from the Alexandria database describes an optimized crystal structure of Dy6TlRh3. The functional is PBE.

Values from the calculation:
* D(E_F): 14.17 states/eV/cell
* volume: 26.11 Å³/atom
* mass density: 9.5 Mg/m³
* final energy: -5.76 eV per atom

Cell lengths 10.7049, 4.4730, 11.7594 Å; angles 90.00, 111.96, 90.00 degrees
With the nearest neighbours (Å) after each atom.
Space group P2_1/m (No. 11)
Asymmetric unit:
Dy 0.0208 0.2500 0.3880  4 Rh 2.77-2.94
Dy 0.1016 0.2500 0.9343  4 Rh 2.89-2.97
Dy 0.2212 0.7500 0.3045  3 Rh 2.76-2.84
Dy 0.3290 0.7500 0.7993  3 Rh 2.84-3.00
Dy 0.3661 0.2500 0.5645  2 Rh 2.87, 2 Tl 3.15
Dy 0.3866 0.7500 0.1024  3 Rh 2.77-2.80
Tl 0.4226 0.2500 0.3033  8 Dy 3.11-3.35, 1 Rh 3.45
Rh 0.0751 0.2500 0.1715  6 Dy 2.81-2.91
Rh 0.1874 0.7500 0.5260  7 Dy 2.76-3.00
Rh 0.3882 0.2500 0.9593  6 Dy 2.77-2.97

***

3.
This record from the Alexandria database describes an optimized crystal structure of Dy5Tl2Rh2. The functional is PBE.

Values from the calculation:
* D(E_F): 30.11 states/eV/cell
* volume: 26.18 Å³/atom
* mass density: 10.1 Mg/m³
* final energy: -5.28 eV per atom

Cell lengths 16.3582, 7.6298, 7.5503 Å; angles 90.00, 90.00, 90.00 degrees
With the nearest neighbours (Å) after each atom.
Space group Cmce (No. 64)
Asymmetric unit:
Dy 0.0000 0.0000 0.0000  4 Rh 2.93-2.97
Dy 0.1160 0.1697 0.3356  3 Rh 2.85-3.01
Tl 0.2201 0.0000 0.0000  7 Dy 3.22-3.60
Rh 0.0000 0.1344 0.6364  8 Dy 2.85-3.01, 1 Rh 2.91

***

4.
This record from the Alexandria database describes an optimized crystal structure of DyTlRh4. The functional is PBE.

Values from the calculation:
* D(E_F): 28.74 states/eV/cell
* volume: 17.62 Å³/atom
* mass density: 12.2 Mg/m³
* final energy: -6.43 eV per atom

Cell lengths 7.5053, 7.5053, 7.5053 Å; angles 90.00, 90.00, 90.00 degrees
With the nearest neighbours (Å) after each atom.
Space group F-43m (No. 216)
Asymmetric unit:
Dy 0.0000 0.0000 0.0000  12 Rh 3.11, 4 Tl 3.25
Tl 0.2500 0.2500 0.7500  12 Rh 3.11, 4 Dy 3.25
Rh 0.1245 0.1245 0.3755  6 Rh 2.64-2.66

***

5.
This record from the Alexandria database describes an optimized crystal structure of Dy8TlRh2. The functional is PBE.

Values from the calculation:
* D(E_F): 25.57 states/eV/cell
* volume: 27.80 Å³/atom
* mass density: 9.3 Mg/m³
* final energy: -5.25 eV per atom

Cell lengths 8.6523, 13.3592, 5.4645 Å; angles 90.00, 104.45, 90.00 degrees
With the nearest neighbours (Å) after each atom.
Space group C2/m (No. 12)
Asymmetric unit:
Dy 0.0000 0.2459 0.0000  2 Rh 2.84
Dy 0.1095 0.5000 0.8049  2 Rh 3.13, 4 Dy 3.19-3.40, 1 Tl 3.28
Dy 0.2031 0.1280 0.5734  2 Rh 2.85-2.90
Tl 0.0000 0.0000 0.0000  8 Dy 3.28-3.62
Rh 0.0000 0.3033 0.5000  8 Dy 2.84-3.13

***

6.
This record from the Alexandria database describes an optimized crystal structure of Dy2Tl3Rh. The functional is PBE.

Values from the calculation:
* D(E_F): 12.09 states/eV/cell
* volume: 25.92 Å³/atom
* mass density: 11.1 Mg/m³
* final energy: -4.21 eV per atom

Cell lengths 6.6310, 14.4488, 6.4936 Å; angles 90.00, 90.00, 90.00 degrees
With the nearest neighbours (Å) after each atom.
Space group Ibam (No. 72)
Asymmetric unit:
Dy 0.2069 0.1352 0.0000  2 Rh 2.89, 4 Tl 3.08-3.20
Tl 0.0000 0.5000 0.2500  6 Tl 3.10-3.25, 4 Dy 3.20, 2 Rh 3.32
Tl 0.2426 0.3551 0.0000  4 Dy 3.08-3.27, 2 Tl 3.10, 2 Rh 3.15
Rh 0.0000 0.0000 0.2500  4 Dy 2.89, 4 Tl 3.15

***

7.
This record from the Alexandria database describes an optimized crystal structure of Dy6TlRh2. The functional is PBE.

Values from the calculation:
* D(E_F): 31.30 states/eV/cell
* volume: 26.22 Å³/atom
* mass density: 9.7 Mg/m³
* final energy: -5.51 eV per atom

Cell lengths 9.3861, 9.6952, 10.3724 Å; angles 90.00, 90.00, 90.00 degrees
With the nearest neighbours (Å) after each atom.
Space group Immm (No. 71)
Asymmetric unit:
Dy 0.0000 0.2037 0.2371  1 Rh 2.78
Dy 0.1928 0.5000 0.1711  3 Rh 2.72-2.99
Dy 0.2112 0.3181 0.5000  3 Rh 2.99-3.10, 1 Tl 3.23
Tl 0.0000 0.0000 0.0000  8 Dy 3.15-3.23, 2 Rh 3.27
Tl 0.0000 0.0000 0.5000  12 Dy 3.37-3.67
Rh 0.0000 0.3369 0.0000  8 Dy 2.78-3.10
Rh 0.0000 0.5000 0.3675  6 Dy 2.72-2.99, 1 Rh 2.75

***

8.
This record from the Alexandria database describes an optimized crystal structure of Dy8Tl2Rh3. The functional is PBE.

Values from the calculation:
* D(E_F): 22.77 states/eV/cell
* volume: 29.21 Å³/atom
* mass density: 8.8 Mg/m³
* final energy: -5.29 eV per atom

Cell lengths 15.8773, 7.4017, 6.5848 Å; angles 90.00, 101.11, 90.00 degrees
With the nearest neighbours (Å) after each atom.
Space group C2/m (No. 12)
Asymmetric unit:
Dy 0.0840 0.0000 0.3677  2 Rh 2.79, 1 Tl 3.06
Dy 0.1033 0.2505 0.8748  2 Rh 2.70-2.71
Dy 0.1341 0.5000 0.3758  3 Rh 2.86-2.94
Tl 0.2422 0.0000 0.1657  6 Dy 3.06-3.27
Rh 0.0000 0.2954 0.5000  6 Dy 2.71-2.86, 1 Rh 3.03
Rh 0.0000 0.5000 0.0000  6 Dy 2.70-2.94

***

9.
This record from the Alexandria database describes an optimized crystal structure of Dy7Tl2Rh2. The functional is PBE.

Values from the calculation:
* D(E_F): 19.97 states/eV/cell
* volume: 27.57 Å³/atom
* polymorph energy (0 for the lowest one): 0.0 meV per atom
* mass density: 9.6 Mg/m³

Cell lengths 3.9054, 16.1876, 9.5936 Å; angles 90.00, 90.00, 90.00 degrees
With the nearest neighbours (Å) after each atom.
Space group Imm2 (No. 44)
Asymmetric unit:
Dy 0.0000 0.0000 0.0000  2 Rh 2.86
Dy 0.0000 0.0989 0.3945  3 Rh 2.93-3.04, 1 Dy 3.20, 2 Tl 3.23
Dy 0.0000 0.3313 0.6184  1 Rh 2.89, 3 Tl 3.07-3.10
Dy 0.0000 0.3853 0.2203  2 Rh 2.78
Tl 0.0000 0.2419 0.9045  7 Dy 3.07-3.34
Rh 0.0000 0.0000 0.6497  6 Dy 2.78-2.93
Rh 0.0000 0.5000 0.7183  8 Dy 2.86-3.04

***

10.
This record from the Alexandria database describes an optimized crystal structure of DyTlRh. The functional is PBE.

Values from the calculation:
* D(E_F): 9.62 states/eV/cell
* volume: 22.15 Å³/atom
* mass density: 11.7 Mg/m³
* final energy: -5.34 eV per atom

Cell lengths 13.3253, 3.7827, 7.9107 Å; angles 90.00, 90.00, 90.00 degrees
With the nearest neighbours (Å) after each atom.
Space group Pmma (No. 51)
Asymmetric unit:
Dy 0.0474 0.0000 0.2145  5 Rh 2.94-3.25
Dy 0.2500 0.0000 0.8337  5 Rh 2.89-3.09
Tl 0.1123 0.5000 0.5699  3 Rh 2.82-2.89
Tl 0.2500 0.5000 0.1824  4 Rh 2.80-2.83
Rh 0.0972 0.5000 0.9343  1 Rh 2.79, 2 Tl 2.83-2.89, 6 Dy 2.89-2.99
Rh 0.2500 0.0000 0.4433  6 Tl 2.80-2.82, 1 Dy 3.09

***

11.
This record from the Alexandria database describes an optimized crystal structure of Dy4Tl3Rh. The functional is PBE.

Values from the calculation:
* D(E_F): 4.86 states/eV/cell
* volume: 25.46 Å³/atom
* mass density: 11.1 Mg/m³
* final energy: -4.59 eV per atom

Cell lengths 3.5545, 3.5545, 16.1207 Å; angles 90.00, 90.00, 90.00 degrees
With the nearest neighbours (Å) after each atom.
Space group P4/mmm (No. 123)
Asymmetric unit:
Dy 0.0000 0.0000 0.1014  4 Rh 3.00, 1 Dy 3.27, 4 Tl 3.34
Dy 0.0000 0.0000 0.3681  8 Tl 3.27-3.29, 4 Dy 3.55
Tl 0.5000 0.5000 0.2382  8 Dy 3.27-3.34, 4 Tl 3.55
Tl 0.5000 0.5000 0.5000  8 Dy 3.29, 4 Tl 3.55
Rh 0.5000 0.5000 0.0000  8 Dy 3.00

***

12.
This record from the Alexandria database describes an optimized crystal structure of Dy2Tl2Rh. The functional is PBE.

Values from the calculation:
* D(E_F): 5.47 states/eV/cell
* volume: 24.81 Å³/atom
* mass density: 11.2 Mg/m³
* final energy: -4.69 eV per atom

Cell lengths 3.5563, 3.5563, 19.6164 Å; angles 90.00, 90.00, 90.00 degrees
With the nearest neighbours (Å) after each atom.
Space group I4/mmm (No. 139)
Asymmetric unit:
Dy 0.0000 0.0000 0.0822  4 Rh 2.99, 1 Dy 3.22
Tl 0.0000 0.0000 0.3021  8 Tl 3.24-3.56, 4 Dy 3.39
Rh 0.0000 0.0000 0.5000  8 Dy 2.99

***

13.
This record from the Alexandria database describes an optimized crystal structure of Dy5TlRh4. The functional is PBE.

Values from the calculation:
* D(E_F): 7.66 states/eV/cell
* volume: 21.55 Å³/atom
* mass density: 11.0 Mg/m³
* final energy: -6.24 eV per atom

Cell lengths 3.4775, 3.4775, 17.8174 Å; angles 90.00, 90.00, 90.00 degrees
With the nearest neighbours (Å) after each atom.
Space group P4/mmm (No. 123)
Asymmetric unit:
Dy 0.0000 0.0000 0.0000  8 Rh 2.98
Dy 0.0000 0.0000 0.1888  8 Rh 2.98-3.00
Dy 0.0000 0.0000 0.3764  4 Rh 2.95, 4 Tl 3.30
Tl 0.5000 0.5000 0.5000  8 Dy 3.30, 4 Tl 3.48
Rh 0.5000 0.5000 0.0942  8 Dy 2.98
Rh 0.5000 0.5000 0.2848  8 Dy 2.95-3.00

***

14.
This record from the Alexandria database describes an optimized crystal structure of Dy6Tl3Rh. The functional is PBE.

Values from the calculation:
* D(E_F): 14.52 states/eV/cell
* volume: 27.51 Å³/atom
* polymorph energy (0 for the lowest one): 0.0 meV per atom
* mass density: 10.2 Mg/m³

Cell lengths 9.0148, 11.6781, 5.2261 Å; angles 90.00, 90.00, 90.00 degrees
With the nearest neighbours (Å) after each atom.
Space group Pnnm (No. 58)
Asymmetric unit:
Dy 0.0105 0.2361 0.0000  1 Rh 2.76, 4 Tl 3.01-3.08
Dy 0.1570 0.0831 0.5000  2 Rh 3.13, 1 Tl 3.24, 3 Dy 3.43
Dy 0.1877 0.4168 0.5000  1 Rh 2.98, 2 Tl 3.26
Tl 0.0000 0.5000 0.0000  8 Dy 3.08-3.26
Tl 0.1556 0.7384 0.5000  3 Dy 3.01-3.03
Rh 0.0000 0.0000 0.0000  4 Dy 2.76-2.98

***

15.
This record from the Alexandria database describes an optimized crystal structure of Dy6TlRh5. The functional is PBE.

Values from the calculation:
* D(E_F): 16.98 states/eV/cell
* volume: 21.25 Å³/atom
* mass density: 11.0 Mg/m³
* final energy: -6.30 eV per atom

Cell lengths 4.8715, 7.1520, 14.6401 Å; angles 90.00, 90.00, 90.00 degrees
With the nearest neighbours (Å) after each atom.
Space group Immm (No. 71)
Asymmetric unit:
Dy 0.0000 0.2308 0.0000  6 Rh 2.94-3.09, 2 Tl 3.10
Dy 0.0000 0.2591 0.3275  7 Rh 2.93-3.06, 1 Tl 3.13
Tl 0.0000 0.0000 0.5000  8 Dy 3.10-3.13, 4 Rh 3.43
Rh 0.0000 0.0000 0.1676  8 Dy 2.96-2.99
Rh 0.0000 0.5000 0.1653  8 Dy 2.93-3.09
Rh 0.0000 0.5000 0.5000  8 Dy 2.94-3.06

***

16.
This record from the Alexandria database describes an optimized crystal structure of DyTlRh. The functional is PBE.

Values from the calculation:
* D(E_F): 6.92 states/eV/cell
* volume: 22.00 Å³/atom
* mass density: 11.8 Mg/m³
* final energy: -5.25 eV per atom

Cell lengths 4.4995, 9.6941, 6.0521 Å; angles 90.00, 90.00, 90.00 degrees
With the nearest neighbours (Å) after each atom.
Space group Cmcm (No. 63)
Asymmetric unit:
Dy 0.0000 0.2010 0.2500  5 Rh 2.93-3.16, 2 Tl 3.27
Tl 0.0000 0.5000 0.0000  4 Rh 2.90, 2 Tl 3.03
Rh 0.0000 0.1060 0.7500  4 Tl 2.90, 5 Dy 2.93-3.16

***

17.
This record from the Alexandria database describes an optimized crystal structure of Dy4TlRh2. The functional is PBE.

Values from the calculation:
* D(E_F): 13.58 states/eV/cell
* volume: 27.24 Å³/atom
* mass density: 9.2 Mg/m³
* final energy: -5.62 eV per atom

Cell lengths 4.1531, 4.1531, 38.3022 Å; angles 90.00, 90.00, 120.00 degrees
With the nearest neighbours (Å) after each atom.
Space group R-3m (No. 166, hexagonal axes)
Asymmetric unit:
Dy 0.0000 0.0000 0.1068  3 Rh 2.80
Dy 0.0000 0.0000 0.2987  3 Rh 2.74
Tl 0.0000 0.0000 0.5000  6 Dy 3.32
Rh 0.0000 0.0000 0.4026  6 Dy 2.74-2.80

***

18.
This record from the Alexandria database describes an optimized crystal structure of DyTlRh. The functional is PBE.

Values from the calculation:
* D(E_F): 6.73 states/eV/cell
* volume: 26.00 Å³/atom
* mass density: 10.0 Mg/m³
* final energy: -5.12 eV per atom

Cell lengths 3.8290, 3.8290, 21.2815 Å; angles 90.00, 90.00, 90.00 degrees
With the nearest neighbours (Å) after each atom.
Space group I4/mmm (No. 139)
Asymmetric unit:
Dy 0.0000 0.0000 0.1689  5 Rh 2.78-2.79
Tl 0.0000 0.0000 0.4316  1 Rh 2.81, 1 Tl 2.91
Rh 0.0000 0.0000 0.2996  5 Dy 2.78-2.79, 1 Tl 2.81

***

19.
This record from the Alexandria database describes an optimized crystal structure of Dy3TlRh8. The functional is PBE.

Values from the calculation:
* D(E_F): 34.98 states/eV/cell
* volume: 17.82 Å³/atom
* mass density: 11.8 Mg/m³
* final energy: -6.81 eV per atom

Cell lengths 5.3098, 5.3098, 26.2744 Å; angles 90.00, 90.00, 120.00 degrees
With the nearest neighbours (Å) after each atom.
Space group R3m (No. 160, hexagonal axes)
Asymmetric unit:
Dy 0.0000 0.0000 0.0000  12 Rh 3.06-3.19, 3 Tl 3.21, 1 Dy 3.37
Dy 0.0000 0.0000 0.1284  12 Rh 3.10-3.13, 4 Dy 3.30-3.37
Dy 0.0000 0.0000 0.5087  12 Rh 3.05-3.23, 1 Tl 3.20, 3 Dy 3.30
Tl 0.0000 0.0000 0.6304  12 Rh 3.11-3.15, 4 Dy 3.20-3.21
Rh 0.0000 0.0000 0.3162  6 Rh 2.68-2.69
Rh 0.0000 0.0000 0.8164  6 Rh 2.66
Rh 0.9999 0.4999 0.0672  6 Rh 2.65-2.69
Rh 0.1671 0.3342 0.8991  6 Rh 2.65-2.68

***

20.
This record from the Alexandria database describes an optimized crystal structure of Dy7Tl2Rh2. The functional is PBE.

Values from the calculation:
* D(E_F): 21.26 states/eV/cell
* volume: 28.85 Å³/atom
* polymorph energy (0 for the lowest one): 38.3 meV per atom
* mass density: 9.2 Mg/m³

Cell lengths 8.1152, 10.9915, 7.1155 Å; angles 90.00, 90.00, 90.00 degrees
With the nearest neighbours (Å) after each atom.
Space group Cmmm (No. 65)
Asymmetric unit:
Dy 0.0000 0.0000 0.0000  2 Rh 3.17
Dy 0.0000 0.5000 0.2398  2 Rh 2.88, 2 Tl 3.17
Dy 0.2500 0.2500 0.2480  2 Rh 2.72
Tl 0.1824 0.0000 0.5000  1 Tl 2.96, 2 Dy 3.17
Rh 0.0000 0.2885 0.0000  6 Dy 2.72-2.88

***

21.
This record from the Alexandria database describes an optimized crystal structure of Dy6Tl3Rh. The functional is PBE.

Values from the calculation:
* D(E_F): 18.22 states/eV/cell
* volume: 26.71 Å³/atom
* polymorph energy (0 for the lowest one): 4.1 meV per atom
* mass density: 10.5 Mg/m³

Cell lengths 9.3100, 5.3010, 11.2913 Å; angles 90.00, 106.51, 90.00 degrees
With the nearest neighbours (Å) after each atom.
Space group P2_1/m (No. 11)
Asymmetric unit:
Dy 0.0457 0.2500 0.4129  6 Tl 3.15-3.38, 1 Dy 3.39
Dy 0.1879 0.7500 0.1693  1 Rh 2.85, 3 Tl 3.18-3.19
Dy 0.2848 0.2500 0.0012  3 Rh 2.91-3.13, 1 Tl 3.19
Dy 0.3504 0.7500 0.8304  3 Rh 2.88-3.18
Dy 0.3735 0.2500 0.3383  3 Tl 3.29-3.33, 8 Dy 3.34-3.66
Dy 0.4024 0.2500 0.6445  1 Rh 2.85, 1 Tl 3.11
Tl 0.0116 0.7500 0.8833  6 Dy 3.18-3.37, 2 Tl 3.50
Tl 0.1030 0.2500 0.7155  6 Dy 3.11-3.32
Tl 0.2811 0.7500 0.4789  10 Dy 3.26-3.60, 1 Tl 3.63
Rh 0.4571 0.7500 0.0962  8 Dy 2.85-3.18